Record 1
## Er3Sc2Ir2 (PBE)

Data for crystalline Er3Sc2Ir2 at its relaxed geometry.

a = 3.7290 Å, b = 6.1133 Å, c = 8.4474 Å
α = 113.48°, β = 90.00°, γ = 107.76°
Fractional positions:
Er: 0.5000 0.0000 0.0000
Er: 0.6164 0.2327 0.4324
Er: 0.3836 0.7673 0.5676
Sc: 0.8305 0.6610 0.1813
Sc: 0.1695 0.3390 0.8187
Ir: 0.8143 0.6286 0.7729
Ir: 0.1857 0.3714 0.2271

Summary:
The final energy comes out at -48.6 eV/f.u.

---

Record 2
## Er3Sc7Ir4 (PBE)

Data for crystalline Er3Sc7Ir4 at its relaxed geometry.

a = 3.9182 Å, b = 8.8958 Å, c = 9.7817 Å
α = 70.31°, β = 78.45°, γ = 77.28°
Fractional positions:
Er: 0.3118 0.1814 0.1951
Er: 0.6882 0.8186 0.8049
Er: 0.0000 0.5000 0.5000
Sc: 0.3184 0.8429 0.5203
Sc: 0.4938 0.2362 0.7761
Sc: 0.8323 0.4221 0.9134
Sc: 0.6816 0.1571 0.4797
Sc: 0.1677 0.5779 0.0866
Sc: 0.0000 0.0000 0.0000
Sc: 0.5062 0.7638 0.2239
Ir: 0.6475 0.4395 0.2655
Ir: 0.3525 0.5605 0.7345
Ir: 0.8797 0.9238 0.3167
Ir: 0.1203 0.0762 0.6833

Summary:
The final energy comes out at -101.9 eV/f.u.

---

Record 3
## Er3ScIr8 (PBE)

Data for crystalline Er3ScIr8 at its relaxed geometry.

a = 5.3155 Å, b = 5.3155 Å, c = 9.1995 Å
α = 73.21°, β = 73.21°, γ = 60.00°
Fractional positions:
Er: 0.3754 0.3754 0.8739
Er: 0.9985 0.9985 0.0046
Er: 0.5012 0.5012 0.4963
Sc: 0.8743 0.8743 0.3770
Ir: 0.9366 0.4370 0.1893
Ir: 0.4389 0.9379 0.6854
Ir: 0.4370 0.4370 0.1893
Ir: 0.9379 0.9379 0.6854
Ir: 0.1877 0.1877 0.4370
Ir: 0.6876 0.6876 0.9372
Ir: 0.4370 0.9366 0.1893
Ir: 0.9379 0.4389 0.6854

Summary:
The final energy comes out at -100.6 eV/f.u.

---

Record 4
## ErScIr (PBE)

Data for crystalline ErScIr at its relaxed geometry.

a = 3.2692 Å, b = 3.2692 Å, c = 6.6449 Å
α = 104.24°, β = 104.24°, γ = 90.00°
Fractional positions:
Sc: 0.2970 0.2970 0.5941
Ir: 0.6735 0.6735 0.3471
Er: 0.0294 0.0294 0.0589

Summary:
For the excess energy over the best structure of this formula in the dataset, the calculation gives 16.7 kJ per mole of atoms.

---

Record 5
## Er3Sc4Ir4 (PBE)

Data for crystalline Er3Sc4Ir4 at its relaxed geometry.

a = 3.8213 Å, b = 8.2592 Å, c = 8.6993 Å
α = 118.34°, β = 102.69°, γ = 90.00°
Fractional positions:
Er: 0.1067 0.1067 0.2134
Er: 0.8933 0.8933 0.7866
Er: 0.0000 0.5000 0.0000
Sc: 0.3319 0.1413 0.6637
Sc: 0.6681 0.4776 0.3362
Sc: 0.6681 0.8587 0.3362
Sc: 0.3319 0.5224 0.6637
Ir: 0.2376 0.7376 0.4752
Ir: 0.7624 0.2624 0.5248
Ir: 0.5000 0.7948 0.0000
Ir: 0.5000 0.2052 0.0000

Summary:
The final energy comes out at -83.1 eV/f.u.

---

Record 6
## ErScIr4 (PBE)

Data for crystalline ErScIr4 at its relaxed geometry.

a = 5.2895 Å, b = 5.2895 Å, c = 5.2895 Å
α = 60.00°, β = 60.00°, γ = 60.00°
Fractional positions:
Sc: 0.0000 0.0000 0.0000
Ir: 0.6252 0.6252 0.1244
Ir: 0.6252 0.1244 0.6252
Ir: 0.6252 0.6252 0.6252
Ir: 0.1244 0.6252 0.6252
Er: 0.2500 0.2500 0.2500

Summary:
The final energy comes out at -51.0 eV/f.u.